# 1
Entry from Alexandria via LeMat-Bulk: a relaxed structure of MnCuAs2 (PBEsol).

Calculated values
M_tot: 0.82 μB per atom
formation energy: 0.16 eV per atom

a b c (Å): 6.460 6.476 2.813
angles (deg): 90.00 90.00 90.00
Space group Cmmm (No. 65)
Inequivalent atoms, fractional coordinates:
Mn 0.000 0.000 0.000
Cu 0.000 0.500 0.000
As 0.250 0.250 0.500

***

# 2
Entry from Alexandria via LeMat-Bulk: a relaxed structure of MnCuAs (PBEsol).

Calculated values
M_tot: 1.11 μB per atom
formation energy: 0.17 eV per atom

a b c (Å): 4.0900 4.0900 2.8167
angles (deg): 90.00 90.00 120.00
Space group P3m1 (No. 156)
Inequivalent atoms, fractional coordinates:
Mn 0.0000 0.0000 0.0000
Cu 0.3333 0.6667 0.4976
As 0.6667 0.3333 0.5072

***

# 3
Entry from Alexandria via LeMat-Bulk: a relaxed structure of MnCuAs2 (PBEsol).

Calculated values
M_tot: 0.73 μB per atom
formation energy: 0.19 eV per atom

a b c (Å): 4.048 4.048 7.066
angles (deg): 90.00 90.00 90.00
Space group I4/mmm (No. 139)
Inequivalent atoms, fractional coordinates:
Mn 0.000 0.000 0.000
Cu 0.000 0.000 0.500
As 0.000 0.500 0.250

***

# 4
Entry from Alexandria via LeMat-Bulk: a relaxed structure of MnCuAs2 (PBEsol).

Calculated values
M_tot: 0.92 μB per atom
formation energy: 0.43 eV per atom

a b c (Å): 6.284 6.284 6.284
angles (deg): 90.00 90.00 90.00
Space group F-43m (No. 216)
Inequivalent atoms, fractional coordinates:
Mn 0.000 0.000 0.000
Cu 0.250 0.250 0.250
As 0.000 0.000 0.500
As 0.250 0.250 0.750

***

# 5
Entry from Alexandria via LeMat-Bulk: a relaxed structure of Pr2Mn3Cu9As7 (PBEsol).

Calculated values
M_tot: 0.55 μB per atom
formation energy: -0.30 eV per atom

a b c (Å): 9.7108 9.7108 3.9393
angles (deg): 90.00 90.00 120.00
Space group P-6 (No. 174)
Inequivalent atoms, fractional coordinates:
Pr 0.0000 0.0000 0.0000
Pr 0.3333 0.6667 0.5000
Mn 0.5438 0.1184 0.5000
Cu 0.0429 0.7540 0.5000
Cu 0.0959 0.3813 0.0000
Cu 0.3848 0.2086 0.0000
As 0.0755 0.6203 0.0000
As 0.2545 0.0359 0.5000
As 0.6667 0.3333 0.0000

***

# 6
Entry from Alexandria via LeMat-Bulk: a relaxed structure of CuMo3As (PBEsol).

Calculated values
M_tot: 0.00 μB per atom
formation energy: 1.48 eV per atom

a b c (Å): 4.532 4.532 4.532
angles (deg): 90.00 90.00 90.00
Space group Pm-3m (No. 221)
Inequivalent atoms, fractional coordinates:
Cu 0.000 0.000 0.000
Mo 0.000 0.500 0.500
As 0.500 0.500 0.500

***

# 7
Entry from Alexandria via LeMat-Bulk: a relaxed structure of Cu2MoAs (PBEsol).

Calculated values
M_tot: 0.00 μB per atom
formation energy: 0.26 eV per atom

a b c (Å): 3.560 3.560 8.567
angles (deg): 90.00 90.00 90.00
Space group I4/mmm (No. 139)
Inequivalent atoms, fractional coordinates:
Cu 0.000 0.500 0.250
Mo 0.000 0.000 0.000
As 0.000 0.000 0.500

***

# 8
Entry from Alexandria via LeMat-Bulk: a relaxed structure of Cu2MoAs (PBEsol).

Calculated values
M_tot: 0.00 μB per atom
formation energy: 0.29 eV per atom

a b c (Å): 2.7445 2.7445 25.6459
angles (deg): 90.00 90.00 120.00
Space group R-3m (No. 166, hexagonal axes)
Inequivalent atoms, fractional coordinates:
Cu 0.0000 0.0000 0.2486
Mo 0.0000 0.0000 0.0000
As 0.0000 0.0000 0.5000

***

# 9
Entry from Alexandria via LeMat-Bulk: a relaxed structure of CuMo2As (PBEsol).

Calculated values
M_tot: 0.00 μB per atom
formation energy: 0.26 eV per atom

a b c (Å): 3.221 4.381 8.497
angles (deg): 90.00 90.00 90.00
Space group Cmm2 (No. 35)
Inequivalent atoms, fractional coordinates:
Cu 0.000 0.000 0.000
Mo 0.000 0.000 0.510
Mo 0.000 0.500 0.760
As 0.000 0.500 0.256

***

# 10
Entry from Alexandria via LeMat-Bulk: a relaxed structure of CuMo2As (PBEsol).

Calculated values
M_tot: 0.00 μB per atom
formation energy: 0.21 eV per atom

a b c (Å): 2.764 4.006 5.347
angles (deg): 90.00 103.48 90.00
Space group P2/m (No. 10)
Inequivalent atoms, fractional coordinates:
Cu 0.000 0.000 0.000
Mo 0.300 0.500 0.754
As 0.500 0.000 0.500

***

# 11
Entry from Alexandria via LeMat-Bulk: a relaxed structure of CuAsS2N (PBEsol).

Calculated values
E_form (uncorrected): 1.009 eV/atom
M_tot: 0.16 μB per atom

a b c (Å): 4.747 4.747 3.528
angles (deg): 90.00 90.00 90.00
Space group P4/mmm (No. 123)
Inequivalent atoms, fractional coordinates:
Cu 0.000 0.000 0.000
As 0.500 0.500 0.500
S 0.000 0.500 0.500
N 0.500 0.500 0.000

***

# 12
Entry from Alexandria via LeMat-Bulk: a relaxed structure of CuAsSN2 (PBEsol).

Calculated values
E_form (uncorrected): 1.442 eV/atom
M_tot: 0.41 μB per atom

a b c (Å): 3.721 3.721 4.703
angles (deg): 90.00 90.00 90.00
Space group P4/mmm (No. 123)
Inequivalent atoms, fractional coordinates:
Cu 0.000 0.000 0.000
As 0.500 0.500 0.500
S 0.000 0.000 0.500
N 0.000 0.500 0.000

***

no.,E (eV/atom)
1,-5.9188
2,-6.2338
3,-5.8913
4,-5.6450
5,-5.7434
6,-7.4671
7,-6.1246
8,-6.0942
9,-7.9826
10,-8.0302
11,-4.3385
12,-4.7336